Record 1
## SrRuIO2 (PBE-GGA)

Data for a geometry-optimized SrRuIO2 structure.

Properties
DOS(E_F) = 7.43 states/eV/f.u.
Offset from the most stable computed form = 971 meV/atom
Volume = 26.93 Å³ per atom
Space group = P4/mmm (123)

Cell: 4.483 4.483 6.701 Å, 90.00 90.00 90.00°
Site moments in Bohr magnetons follow the coordinates.
Fractional positions:
I (0.000, 0.000, 0.500)  0.07
Ru (0.500, 0.500, 0.500)  2.69
O (0.000, 0.500, 0.000)  0.75
O (0.500, 0.000, 0.000)  0.75
Sr (0.000, 0.000, 0.000)  0.05



Record 2
## TaRuIO2 (PBE-GGA)

Data for a geometry-optimized TaRuIO2 structure.

Properties
DOS(E_F) = 4.40 states/eV/f.u.
Offset from the most stable computed form = 0 meV/atom
Volume = 18.71 Å³ per atom
Space group = P4/mmm (123)

Cell: 3.895 3.895 6.167 Å, 90.00 90.00 90.00°
Site moments in Bohr magnetons follow the coordinates.
Fractional positions:
I (0.000, 0.000, 0.500)  0.03
Ru (0.500, 0.500, 0.500)  1.50
O (0.000, 0.500, 0.000)  0.02
O (0.500, 0.000, 0.000)  0.02
Ta (0.000, 0.000, 0.000)  -0.07



Record 3
## TaRuIO2 (PBE-GGA)

Data for a geometry-optimized TaRuIO2 structure.

Properties
DOS(E_F) = 5.10 states/eV/f.u.
Offset from the most stable computed form = 1232 meV/atom
Volume = 21.66 Å³ per atom
Space group = P4/mmm (123)

Cell: 3.827 3.827 7.395 Å, 90.00 90.00 90.00°
Site moments in Bohr magnetons follow the coordinates.
Fractional positions:
I (0.000, 0.000, 0.500)  0.00
Ru (0.000, 0.000, 0.000)  0.09
O (0.000, 0.500, 0.000)  0.03
O (0.500, 0.000, 0.000)  0.03
Ta (0.500, 0.500, 0.500)  1.64



Record 4
## TcRuI2O (PBE-GGA)

Data for a geometry-optimized TcRuI2O structure.

Properties
DOS(E_F) = 5.24 states/eV/f.u.
Offset from the most stable computed form = 76 meV/atom
Volume = 23.38 Å³ per atom
Space group = P4/mmm (123)

Cell: 5.608 5.608 3.717 Å, 90.00 90.00 90.00°
Site moments in Bohr magnetons follow the coordinates.
Fractional positions:
I (0.000, 0.500, 0.000)  0.07
I (0.500, 0.000, 0.000)  0.07
Ru (0.000, 0.000, 0.000)  -0.16
Tc (0.500, 0.500, 0.500)  3.53
O (0.000, 0.000, 0.500)  -0.04